# 1
Here is Rb2MnReO6 after structural relaxation from the Alexandria database. Energies are from PBE+U.

Cell: 6.2864 6.2864 4.9283 Å, 90.00 90.00 120.00°
Element x y z (fractional)
1 Rb 0.3333 0.6667 0.2208
2 Rb 0.6667 0.3333 0.7792
3 Mn 0.0000 0.0000 0.0000
4 Re 0.0000 0.0000 0.5000
5 O 0.1390 0.2779 0.7419
6 O 0.1390 0.8610 0.7419
7 O 0.2779 0.1390 0.2581
8 O 0.7221 0.8610 0.7419
9 O 0.8610 0.1390 0.2581
10 O 0.8610 0.7221 0.2581

Output
uncorrected energy	-66.8	eV per formula unit

# 2
Here is Rb2MnRhO4 after structural relaxation from the Alexandria database. Energies are from PBE+U.

Cell: 12.3504 10.9600 6.6729 Å, 85.25 62.17 32.58°
Element x y z (fractional)
1 Rb 0.0481 0.0481 0.7019
2 Rb 0.2981 0.2981 0.9519
3 Rb 0.7019 0.7019 0.0481
4 Rb 0.9519 0.9519 0.2981
5 Mn 0.1250 0.1250 0.1250
6 Mn 0.8750 0.8750 0.8750
7 Rh 0.3750 0.3750 0.3750
8 Rh 0.6250 0.6250 0.6250
9 O 0.0374 0.3128 0.3972
10 O 0.2474 0.6028 0.6872
11 O 0.3128 0.0374 0.7526
12 O 0.3972 0.7526 0.0374
13 O 0.6028 0.2474 0.9626
14 O 0.6872 0.9626 0.2474
15 O 0.7526 0.3972 0.3128
16 O 0.9626 0.6872 0.6028

Output
uncorrected energy	-44.2	eV per formula unit

# 3
Here is RbMnRu2O8 after structural relaxation from the Alexandria database. Energies are from PBE+U.

Cell: 5.3813 5.3813 8.3751 Å, 94.95 94.95 66.37°
Element x y z (fractional)
1 Rb 0.0000 0.0000 0.0000
2 Mn 0.0000 0.0000 0.5000
3 Ru 0.3779 0.3779 0.7070
4 Ru 0.6221 0.6221 0.2930
5 O 0.2306 0.2306 0.5483
6 O 0.2335 0.7362 0.6838
7 O 0.2638 0.7665 0.3162
8 O 0.3128 0.3128 0.8972
9 O 0.6872 0.6872 0.1028
10 O 0.7362 0.2335 0.6838
11 O 0.7665 0.2638 0.3162
12 O 0.7694 0.7694 0.4517

Output
uncorrected energy	-79.7	eV per formula unit

# 4
Here is RbMnRuO6 after structural relaxation from the Alexandria database. Energies are from PBE+U.

Cell: 5.1589 5.1589 6.3062 Å, 90.00 90.00 120.00°
Element x y z (fractional)
1 Rb 0.0000 0.0000 0.0000
2 Mn 0.6667 0.3333 0.5000
3 Ru 0.3333 0.6667 0.5000
4 O 0.0015 0.3982 0.6710
5 O 0.0015 0.6033 0.3290
6 O 0.3967 0.3982 0.3290
7 O 0.3967 0.9985 0.6710
8 O 0.6018 0.6033 0.6710
9 O 0.6018 0.9985 0.3290

Output
uncorrected energy	-57.2	eV per formula unit

# 5
Here is RbMnS2O8 after structural relaxation from the Alexandria database. Energies are from PBE+U.

Cell: 8.9969 8.9969 8.9969 Å, 31.25 31.25 31.25°
Element x y z (fractional)
1 Rb 0.0000 0.0000 0.0000
2 Mn 0.5000 0.5000 0.5000
3 S 0.2318 0.2318 0.2318
4 S 0.7682 0.7682 0.7682
5 O 0.0967 0.5174 0.7486
6 O 0.2514 0.9033 0.4826
7 O 0.2888 0.2888 0.2888
8 O 0.4826 0.2514 0.9033
9 O 0.5174 0.7486 0.0967
10 O 0.7112 0.7112 0.7112
11 O 0.7486 0.0967 0.5174
12 O 0.9033 0.4826 0.2514

Output
uncorrected energy	-73.3	eV per formula unit

# 6
Here is Rb3MnSb2O8 after structural relaxation from the Alexandria database. Energies are from PBE+U.

Cell: 6.0444 6.0444 8.0802 Å, 90.00 90.00 120.00°
Element x y z (fractional)
1 Rb 0.0000 0.0000 0.0000
2 Rb 0.3333 0.6667 0.7048
3 Rb 0.6667 0.3333 0.2952
4 Mn 0.0000 0.0000 0.5000
5 Sb 0.3333 0.6667 0.2687
6 Sb 0.6667 0.3333 0.7313
7 O 0.1596 0.3193 0.3454
8 O 0.1596 0.8404 0.3454
9 O 0.3193 0.1596 0.6546
10 O 0.3333 0.6667 0.0369
11 O 0.6667 0.3333 0.9631
12 O 0.6807 0.8404 0.3454
13 O 0.8404 0.1596 0.6546
14 O 0.8404 0.6807 0.6546

Output
uncorrected energy	-77.8	eV per formula unit

# 7
Here is RbMnSbO6 after structural relaxation from the Alexandria database. Energies are from PBE+U.

Cell: 5.2141 5.2141 6.4911 Å, 90.00 90.00 120.00°
Element x y z (fractional)
1 Rb 0.0000 0.0000 0.0000
2 Mn 0.3333 0.6667 0.5000
3 Sb 0.6667 0.3333 0.5000
4 O 0.0147 0.3897 0.6698
5 O 0.0147 0.6250 0.3302
6 O 0.3750 0.3897 0.3302
7 O 0.3750 0.9853 0.6698
8 O 0.6103 0.6250 0.6698
9 O 0.6103 0.9853 0.3302

Output
uncorrected energy	-52.1	eV per formula unit

# 8
Here is Rb2MnSbO6 after structural relaxation from the Alexandria database. Energies are from PBE+U.

Cell: 6.3416 6.3416 5.3055 Å, 90.00 90.00 120.00°
Element x y z (fractional)
1 Rb 0.3333 0.6667 0.1707
2 Rb 0.6667 0.3333 0.8293
3 Mn 0.0000 0.0000 0.0000
4 Sb 0.0000 0.0000 0.5000
5 O 0.1349 0.2699 0.7603
6 O 0.1349 0.8651 0.7603
7 O 0.2699 0.1349 0.2397
8 O 0.7301 0.8651 0.7603
9 O 0.8651 0.1349 0.2397
10 O 0.8651 0.7301 0.2397

Output
uncorrected energy	-56.6	eV per formula unit

# 9
Here is RbScMnO3 after structural relaxation from the Alexandria database. Energies are from PBE+U.

Cell: 7.3014 7.3014 8.7870 Å, 90.00 90.00 153.42°
Element x y z (fractional)
1 Rb 0.1843 0.8157 0.7500
2 Rb 0.8157 0.1843 0.2500
3 Sc 0.5000 0.5000 0.0000
4 Sc 0.5000 0.5000 0.5000
5 Mn 0.0813 0.9187 0.2500
6 Mn 0.9187 0.0813 0.7500
7 O 0.0957 0.9043 0.0274
8 O 0.0957 0.9043 0.4726
9 O 0.4866 0.5134 0.2500
10 O 0.5134 0.4866 0.7500
11 O 0.9043 0.0957 0.5274
12 O 0.9043 0.0957 0.9726

Output
uncorrected energy	-43.0	eV per formula unit

# 10
Here is Rb2ScMnO4 after structural relaxation from the Alexandria database. Energies are from PBE+U.

Cell: 12.3883 10.9395 7.0089 Å, 84.26 61.48 34.26°
Element x y z (fractional)
1 Rb 0.0619 0.0619 0.6881
2 Rb 0.3119 0.3119 0.9381
3 Rb 0.6881 0.6881 0.0619
4 Rb 0.9381 0.9381 0.3119
5 Sc 0.1250 0.1250 0.1250
6 Sc 0.8750 0.8750 0.8750
7 Mn 0.3750 0.3750 0.3750
8 Mn 0.6250 0.6250 0.6250
9 O 0.0067 0.6757 0.5588
10 O 0.2588 0.5588 0.6757
11 O 0.3243 0.9933 0.7412
12 O 0.4412 0.7412 0.9933
13 O 0.5588 0.2588 0.0067
14 O 0.6757 0.0067 0.2588
15 O 0.7412 0.4412 0.3243
16 O 0.9933 0.3243 0.4412

Output
uncorrected energy	-50.9	eV per formula unit

# 11
Here is RbMn3Se4O12 after structural relaxation from the Alexandria database. Energies are from PBE+U.

Cell: 7.2364 7.2364 7.2364 Å, 108.13 108.13 108.13°
Element x y z (fractional)
1 Rb 0.0000 0.0000 0.0000
2 Mn 0.0000 0.5699 0.4301
3 Mn 0.4301 0.0000 0.5699
4 Mn 0.5699 0.4301 0.0000
5 Se 0.0722 0.5000 0.9278
6 Se 0.5000 0.5000 0.5000
7 Se 0.5000 0.9278 0.0722
8 Se 0.9278 0.0722 0.5000
9 O 0.0959 0.6356 0.7695
10 O 0.1271 0.8729 0.5000
11 O 0.2305 0.3644 0.9041
12 O 0.3432 0.6568 0.5000
13 O 0.3644 0.9041 0.2305
14 O 0.5000 0.1271 0.8729
15 O 0.5000 0.3432 0.6568
16 O 0.6356 0.7695 0.0959
17 O 0.6568 0.5000 0.3432
18 O 0.7695 0.0959 0.6356
19 O 0.8729 0.5000 0.1271
20 O 0.9041 0.2305 0.3644

Output
uncorrected energy	-114.0	eV per formula unit

# 12
Here is RbMn2Se2O6 after structural relaxation from the Alexandria database. Energies are from PBE+U.

Cell: 5.8468 6.1056 6.1965 Å, 109.59 98.79 109.46°
Element x y z (fractional)
1 Rb 0.0000 0.0000 0.0000
2 Mn 0.2646 0.5489 0.9269
3 Mn 0.7354 0.4511 0.0731
4 Se 0.2725 0.9198 0.5461
5 Se 0.7275 0.0802 0.4539
6 O 0.1209 0.6593 0.2153
7 O 0.3304 0.7485 0.7010
8 O 0.3910 0.2587 0.8361
9 O 0.6090 0.7413 0.1639
10 O 0.6696 0.2515 0.2990
11 O 0.8791 0.3407 0.7847

Output
uncorrected energy	-64.6	eV per formula unit

> uncorrected energy of number 8 (Rb2MnSbO6)?

-56.6 eV per formula unit